La2PrY5Ho PBE relaxed; crystal system = tetragonal; E_tot = -5.490 eV per atom; DOS(E_F) = 23.90 states/eV per cell
1.0
8.6635 0.0000 0.0000
0.0000 8.6635 0.0000
-4.3318 -4.3318 8.0021
Y La Ho Pr
10 4 2 2
Direct
0.6469 0.1469 0.7182
0.1469 0.0713 0.7182
0.4287 0.3531 0.2818
0.0713 0.5713 0.7182
0.5000 0.5000 0.0000
0.3531 0.8531 0.2818
0.0000 0.0000 0.0000
0.9287 0.4287 0.2818
0.8531 0.9287 0.2818
0.5713 0.6469 0.7182
0.8816 0.6184 0.0000
0.6184 0.1184 0.0000
0.3816 0.8816 0.0000
0.1184 0.3816 0.0000
0.7500 0.7500 0.5000
0.2500 0.2500 0.5000
0.7500 0.2500 0.5000
0.2500 0.7500 0.5000

---

Cs2MgAs2 PBE relaxed; crystal system = tetragonal; E_tot = -2.791 eV per atom; DOS(E_F) = 1.49 states/eV per cell
1.0
-4.7855 2.4884 4.9420
-5.4478 -0.9757 -4.7839
-0.8134 -5.7208 2.0930
As Cs Mg
4 4 2
Direct
0.8763 0.6237 0.0000
0.1237 0.3763 0.0000
0.3763 0.8763 0.0000
0.6237 0.1237 0.0000
0.3265 0.1735 0.5000
0.8265 0.3265 0.5000
0.6735 0.8265 0.5000
0.1735 0.6735 0.5000
0.5000 0.5000 0.0000
0.0000 0.0000 0.0000